Record 1
First-principles (PBE) data for a geometry-optimized PrUP2 structure, as listed in the Alexandria database.

Cell lengths 3.9779, 3.9779, 21.1226 Å; angles 90.00, 90.00, 120.00 degrees
Space group R3m (No. 160, hexagonal axes)
One atom of each set of equivalent atoms:
Pr (0.0000, 0.0000, 0.0000) x3
U (0.0000, 0.0000, 0.1738) x3
P (0.0000, 0.0000, 0.5809) x3
P (0.0000, 0.0000, 0.7623) x3

Output
Total DFT energy (no corrections) (eV per atom): -7.798


Record 2
First-principles (PBE) data for a geometry-optimized YTh2In3 structure, as listed in the Alexandria database.

Cell lengths 3.530, 3.530, 13.477 Å; angles 90.00, 90.00, 90.00 degrees
Space group P4/mmm (No. 123)
One atom of each set of equivalent atoms:
Y (0.000, 0.000, 0.000) x1
Th (0.000, 0.000, 0.329) x2
In (0.500, 0.500, 0.159) x2
In (0.500, 0.500, 0.500) x1

Output
Total DFT energy (no corrections) (eV per atom): -5.275


Question: The lowest total DFT energy (no corrections) belongs to which entry?
Answer: PrUP2


Question: The lowest total DFT energy (no corrections) belongs to which entry?
Answer: PrUP2